[1]
Here is a relaxed structure of Na2TbCeS4 from Alexandria. Energies are from PBE.

Results
Total magnetic moment ... 0.126 μB/atom
Fermi-level density of states ... 0.7413 states/eV/atom
Symmetry ... No. 10

Cell: 4.074 7.056 7.069 Å, 109.39 90.00 90.00°
Site moments in Bohr magnetons follow the coordinates.
Sites, in units of the cell vectors:
Na 0.500 0.000 0.500  0.00
Na 0.000 0.500 0.500  0.00
Ce 0.000 0.000 0.000  0.92
S 0.500 0.250 0.231  -0.01
S 0.000 0.263 0.771  -0.01
S 0.000 0.737 0.229  -0.01
S 0.500 0.750 0.769  -0.01
Tb 0.500 0.500 0.000  0.03

***

[2]
Here is a relaxed structure of Na2CeTeS4 from Alexandria. Energies are from PBE.

Results
Total magnetic moment ... 0.042 μB/atom
Fermi-level density of states ... 0.7680 states/eV/atom
Symmetry ... No. 15

Cell: 7.926 7.926 8.384 Å, 116.70 116.70 88.85°
Site moments in Bohr magnetons follow the coordinates.
Sites, in units of the cell vectors:
S 0.226 0.706 0.441  -0.01
S 0.207 0.726 0.941  -0.01
S 0.196 0.211 0.939  -0.02
S 0.711 0.696 0.439  -0.02
S 0.794 0.274 0.060  -0.01
S 0.774 0.293 0.559  -0.01
S 0.289 0.304 0.561  -0.02
S 0.804 0.789 0.061  -0.02
Na 0.500 0.000 0.000  0.00
Na 0.500 0.500 0.000  0.00
Na 0.500 0.000 0.500  0.00
Na 0.000 0.000 0.500  0.00
Te 0.500 0.500 0.500  -0.02
Te 0.000 0.000 0.000  -0.02
Ce 0.000 0.500 0.000  0.44
Ce 0.000 0.500 0.500  0.44

***

[3]
Here is a relaxed structure of NaCe2ThS4 from Alexandria. Energies are from PBE.

Results
Total magnetic moment ... 0.244 μB/atom
Fermi-level density of states ... 1.5647 states/eV/atom
Symmetry ... No. 10

Cell: 4.025 6.996 7.010 Å, 70.77 90.00 90.00°
Site moments in Bohr magnetons follow the coordinates.
Sites, in units of the cell vectors:
Ce 0.500 0.000 0.500  0.84
Ce 0.000 0.000 0.000  0.74
Na 0.500 0.500 0.000  0.00
S 0.000 0.251 0.251  -0.01
S 0.500 0.253 0.753  -0.01
S 0.000 0.749 0.749  -0.01
S 0.500 0.747 0.247  -0.01
Th 0.000 0.500 0.500  0.05

***

[4]
Here is a relaxed structure of Na3Ce3TiS8 from Alexandria. Energies are from PBE.

Results
Total magnetic moment ... 0.109 μB/atom
Fermi-level density of states ... 1.3657 states/eV/atom
Symmetry ... No. 166

Cell: 7.988 7.988 8.146 Å, 119.36 89.99 120.00°
Site moments in Bohr magnetons follow the coordinates.
Sites, in units of the cell vectors:
S 0.255 0.509 0.263  -0.01
S 0.223 0.990 0.712  -0.01
S 0.745 0.491 0.737  -0.01
S 0.777 0.010 0.288  -0.01
S 0.233 0.010 0.288  -0.01
S 0.223 0.446 0.712  -0.03
S 0.777 0.554 0.288  -0.03
S 0.767 0.990 0.712  -0.01
Na 0.000 0.000 0.000  0.00
Na 0.000 0.500 0.000  0.00
Na 0.500 0.500 0.000  0.00
Ce 0.500 0.500 0.500  0.76
Ce 0.500 0.000 0.500  -0.63
Ce 0.000 0.500 0.500  0.76
Ti 0.000 0.000 0.500  0.61

***

[5]
Here is a relaxed structure of Na2CeTiS4 from Alexandria. Energies are from PBE.

Results
Total magnetic moment ... 0.251 μB/atom
Fermi-level density of states ... 0.8101 states/eV/atom
Symmetry ... No. 10

Cell: 3.873 6.615 7.074 Å, 108.46 90.00 90.00°
Site moments in Bohr magnetons follow the coordinates.
Sites, in units of the cell vectors:
S 0.000 0.282 0.785  -0.03
S 0.500 0.265 0.228  -0.02
S 0.000 0.718 0.215  -0.03
S 0.500 0.735 0.772  -0.02
Na 0.500 0.000 0.500  0.00
Na 0.000 0.500 0.500  0.00
Ti 0.500 0.500 0.000  1.01
Ce 0.000 0.000 0.000  0.74

***

[6]
Here is a relaxed structure of Na2CeTl2S4 from Alexandria. Energies are from PBE.

Results
Total magnetic moment ... 0.000 μB/atom
Symmetry ... No. 12

Cell: 4.270 7.615 8.610 Å, 115.54 104.36 90.00°
Sites, in units of the cell vectors:
S 0.487 0.757 0.974
S 0.814 0.828 0.628
S 0.186 0.172 0.372
S 0.513 0.243 0.026
Na 0.668 0.927 0.336
Na 0.332 0.073 0.664
Tl 0.154 0.531 0.309
Tl 0.846 0.469 0.691
Ce 0.000 0.000 0.000

***

[7]
Here is a relaxed structure of Na2CeTm2S6 from Alexandria. Energies are from PBE.

Results
Total magnetic moment ... 0.000 μB/atom
Symmetry ... No. 12

Cell: 6.879 6.879 7.085 Å, 99.28 99.28 120.07°
Sites, in units of the cell vectors:
Tm 0.666 0.334 0.500
Tm 0.334 0.666 0.500
S 0.592 0.931 0.281
S 0.741 0.741 0.719
S 0.408 0.069 0.719
S 0.069 0.408 0.719
S 0.259 0.259 0.281
S 0.931 0.592 0.281
Ce 0.000 0.000 0.500
Na 0.168 0.832 0.000
Na 0.832 0.168 0.000

***

[8]
Here is a relaxed structure of NaCeTm2S4 from Alexandria. Energies are from PBE.

Results
Total magnetic moment ... 0.153 μB/atom
Fermi-level density of states ... 0.8506 states/eV/atom
Symmetry ... No. 10

Cell: 3.899 6.899 6.814 Å, 71.10 90.00 90.00°
Site moments in Bohr magnetons follow the coordinates.
Sites, in units of the cell vectors:
S 0.500 0.233 0.755  -0.01
S 0.500 0.767 0.245  -0.01
S 0.000 0.765 0.742  -0.01
S 0.000 0.235 0.258  -0.01
Tm 0.500 0.000 0.500  0.01
Tm 0.000 0.000 0.000  0.07
Na 0.000 0.500 0.500  0.00
Ce 0.500 0.500 0.000  0.91

***

[9]
Here is a relaxed structure of Na3Ce3TmS8 from Alexandria. Energies are from PBE.

Results
Total magnetic moment ... 0.134 μB/atom
Fermi-level density of states ... 0.9098 states/eV/atom
Symmetry ... No. 166

Cell: 8.168 8.168 8.162 Å, 120.05 90.00 120.00°
Site moments in Bohr magnetons follow the coordinates.
Sites, in units of the cell vectors:
S 0.236 0.985 0.720  -0.01
S 0.764 0.529 0.280  -0.01
S 0.764 0.015 0.280  -0.01
S 0.256 0.512 0.268  -0.02
S 0.236 0.471 0.720  -0.01
S 0.251 0.015 0.280  -0.01
S 0.749 0.985 0.720  -0.01
S 0.744 0.488 0.732  -0.02
Na 0.000 0.500 0.000  0.00
Na 0.000 0.000 0.000  0.00
Na 0.500 0.500 0.000  0.00
Ce 0.500 0.000 0.500  0.68
Ce 0.500 0.500 0.500  0.68
Ce 0.000 0.500 0.500  0.68
Tm 0.000 0.000 0.500  0.00

***

[10]
Here is a relaxed structure of Na3CeTm2S6 from Alexandria. Energies are from PBE.

Results
Total magnetic moment ... 0.085 μB/atom
Fermi-level density of states ... 0.3993 states/eV/atom
Symmetry ... No. 12

Cell: 6.938 6.938 7.059 Å, 99.44 99.44 120.00°
Site moments in Bohr magnetons follow the coordinates.
Sites, in units of the cell vectors:
Tm 0.667 0.333 0.000  0.01
Tm 0.333 0.667 0.000  0.01
S 0.420 0.075 0.226  -0.01
S 0.075 0.420 0.226  -0.01
S 0.925 0.580 0.774  -0.01
S 0.580 0.925 0.774  -0.01
S 0.269 0.269 0.773  -0.01
S 0.731 0.731 0.227  -0.01
Na 0.834 0.166 0.500  0.00
Na 0.500 0.500 0.500  0.00
Na 0.166 0.834 0.500  0.00
Ce 0.000 0.000 0.000  0.93

***

[11]
Here is a relaxed structure of NaCeTmS4 from Alexandria. Energies are from PBE.

Results
Total magnetic moment ... 0.000 μB/atom
Symmetry ... No. 74

Cell: 7.942 8.119 8.119 Å, 62.04 60.72 60.72°
Sites, in units of the cell vectors:
S 0.762 0.207 0.268
S 0.238 0.793 0.732
S 0.788 0.237 0.737
S 0.762 0.768 0.707
S 0.238 0.232 0.293
S 0.212 0.763 0.263
S 0.763 0.763 0.263
S 0.237 0.237 0.737
Ce 0.000 0.500 0.500
Ce 0.000 0.000 0.000
Na 0.364 0.386 0.886
Na 0.636 0.614 0.114
Tm 0.500 0.000 0.500
Tm 0.000 0.000 0.500

***

[12]
Here is a relaxed structure of Na3CeTm3S8 from Alexandria. Energies are from PBE.

Results
Total magnetic moment ... 0.000 μB/atom
Symmetry ... No. 166

Cell: 7.914 7.913 8.106 Å, 119.25 90.00 120.00°
Sites, in units of the cell vectors:
S 0.759 0.021 0.280
S 0.759 0.518 0.280
S 0.262 0.021 0.280
S 0.741 0.482 0.723
S 0.241 0.979 0.720
S 0.259 0.518 0.277
S 0.738 0.979 0.720
S 0.241 0.482 0.720
Ce 0.000 0.000 0.500
Na 0.000 0.000 0.000
Na 0.000 0.500 0.000
Na 0.500 0.500 0.000
Tm 0.000 0.500 0.500
Tm 0.500 0.000 0.500
Tm 0.500 0.500 0.500

***

[13]
Here is a relaxed structure of Na2CeTmS4 from Alexandria. Energies are from PBE.

Results
Total magnetic moment ... 0.126 μB/atom
Fermi-level density of states ... 0.7259 states/eV/atom
Symmetry ... No. 10

Cell: 4.036 6.998 7.062 Å, 109.22 90.00 90.00°
Site moments in Bohr magnetons follow the coordinates.
Sites, in units of the cell vectors:
S 0.500 0.746 0.770  -0.01
S 0.500 0.254 0.230  -0.01
S 0.000 0.268 0.774  -0.01
S 0.000 0.732 0.226  -0.01
Ce 0.000 0.000 0.000  0.92
Na 0.500 0.000 0.500  0.00
Na 0.000 0.500 0.500  0.00
Tm 0.500 0.500 0.000  0.02

***

[14]
Here is a relaxed structure of Na4Ce3TmS8 from Alexandria. Energies are from PBE.

Results
Total magnetic moment ... 0.188 μB/atom
Fermi-level density of states ... 1.1293 states/eV/atom
Symmetry ... No. 166

Cell: 8.178 8.170 8.177 Å, 120.05 120.00 90.00°
Site moments in Bohr magnetons follow the coordinates.
Sites, in units of the cell vectors:
Na 0.000 0.000 0.500  0.00
Na 0.500 0.000 0.000  0.00
Na 0.500 0.000 0.500  0.00
Na 0.000 0.000 0.000  0.00
S 0.745 0.734 0.490  -0.02
S 0.238 0.729 0.991  -0.01
S 0.238 0.729 0.476  -0.01
S 0.247 0.271 0.009  -0.01
S 0.753 0.729 0.991  -0.01
S 0.762 0.271 0.009  -0.01
S 0.762 0.271 0.524  -0.01
S 0.255 0.266 0.510  -0.02
Ce 0.500 0.500 0.000  0.92
Ce 0.500 0.500 0.500  0.92
Ce 0.000 0.500 0.500  0.92
Tm 0.000 0.500 0.000  0.03

***

[15]
Here is a relaxed structure of Na4CeTm3S8 from Alexandria. Energies are from PBE.

Results
Total magnetic moment ... 0.062 μB/atom
Fermi-level density of states ... 0.2983 states/eV/atom
Symmetry ... No. 166

Cell: 7.972 8.102 7.971 Å, 119.48 120.00 90.00°
Site moments in Bohr magnetons follow the coordinates.
Sites, in units of the cell vectors:
S 0.753 0.273 0.505  -0.01
S 0.247 0.727 0.495  -0.01
S 0.753 0.273 0.020  -0.01
S 0.259 0.277 0.518  0.00
S 0.247 0.727 0.980  -0.01
S 0.268 0.273 0.020  -0.01
S 0.732 0.727 0.980  -0.01
S 0.741 0.723 0.482  0.00
Na 0.000 0.000 0.500  0.00
Na 0.500 0.000 0.500  0.00
Na 0.000 0.000 0.000  0.00
Na 0.500 0.000 0.000  0.00
Tm 0.500 0.500 0.500  0.01
Tm 0.000 0.500 0.500  0.01
Tm 0.500 0.500 0.000  0.01
Ce 0.000 0.500 0.000  0.91

***

[16]
Here is a relaxed structure of NaCeUS4 from Alexandria. Energies are from PBE.

Results
Total magnetic moment ... 0.429 μB/atom
Fermi-level density of states ... 1.7966 states/eV/atom
Symmetry ... No. 74

Cell: 8.145 8.266 8.343 Å, 120.31 90.00 119.52°
Site moments in Bohr magnetons follow the coordinates.
Sites, in units of the cell vectors:
U 0.500 0.500 0.500  2.16
U 0.000 0.500 0.500  2.16
Na 0.875 0.751 0.125  0.00
Na 0.125 0.249 0.875  0.00
S 0.259 0.518 0.291  -0.05
S 0.741 0.482 0.709  -0.05
S 0.251 0.961 0.731  -0.04
S 0.741 0.482 0.273  -0.05
S 0.259 0.518 0.727  -0.05
S 0.749 0.039 0.269  -0.04
S 0.290 0.039 0.269  -0.04
S 0.710 0.961 0.731  -0.04
Ce 0.500 0.000 0.500  0.81
Ce 0.500 0.000 0.000  0.81

***

[17]
Here is a relaxed structure of Na2CeU2S6 from Alexandria. Energies are from PBE.

Results
Total magnetic moment ... 0.545 μB/atom
Fermi-level density of states ... 1.1434 states/eV/atom
Symmetry ... No. 12

Cell: 7.004 7.004 7.113 Å, 99.31 99.31 120.40°
Site moments in Bohr magnetons follow the coordinates.
Sites, in units of the cell vectors:
S 0.735 0.735 0.725  -0.05
S 0.416 0.067 0.721  -0.05
S 0.584 0.933 0.279  -0.05
S 0.933 0.584 0.279  -0.05
S 0.265 0.265 0.275  -0.05
S 0.067 0.416 0.721  -0.05
Na 0.167 0.833 0.000  0.00
Na 0.833 0.167 0.000  0.00
U 0.336 0.664 0.500  2.36
U 0.664 0.336 0.500  2.36
Ce 0.000 0.000 0.500  0.94

***

[18]
Here is a relaxed structure of Na2CeUS4 from Alexandria. Energies are from PBE.

Results
Total magnetic moment ... 0.501 μB/atom
Fermi-level density of states ... 1.1677 states/eV/atom
Symmetry ... No. 10

Cell: 4.037 7.005 7.114 Å, 109.14 90.00 90.00°
Site moments in Bohr magnetons follow the coordinates.
Sites, in units of the cell vectors:
Na 0.500 0.000 0.500  0.00
Na 0.000 0.500 0.500  0.00
S 0.000 0.737 0.230  -0.05
S 0.500 0.748 0.766  -0.04
S 0.500 0.252 0.234  -0.04
S 0.000 0.263 0.770  -0.05
Ce 0.000 0.000 0.000  0.99
U 0.500 0.500 0.000  2.57

***

[19]
Here is a relaxed structure of Na4CeU3S8 from Alexandria. Energies are from PBE.

Results
Total magnetic moment ... 0.626 μB/atom
Fermi-level density of states ... 0.8806 states/eV/atom
Symmetry ... No. 166

Cell: 7.977 8.187 7.975 Å, 119.17 120.01 90.00°
Site moments in Bohr magnetons follow the coordinates.
Sites, in units of the cell vectors:
U 0.500 0.500 0.000  2.60
U 0.500 0.500 0.500  2.60
U 0.000 0.500 0.500  2.60
S 0.257 0.271 0.514  -0.06
S 0.248 0.733 0.495  -0.05
S 0.752 0.267 0.505  -0.05
S 0.248 0.733 0.986  -0.05
S 0.738 0.733 0.986  -0.05
S 0.743 0.729 0.486  -0.06
S 0.752 0.267 0.014  -0.05
S 0.262 0.267 0.014  -0.05
Na 0.000 0.000 0.500  0.00
Na 0.500 0.000 0.500  0.00
Na 0.000 0.000 0.000  0.00
Na 0.500 0.000 0.000  0.00
Ce 0.000 0.500 0.000  1.02

***

[20]
Here is a relaxed structure of NaCe2US4 from Alexandria. Energies are from PBE.

Results
Total magnetic moment ... 0.625 μB/atom
Fermi-level density of states ... 1.8367 states/eV/atom
Symmetry ... No. 10

Cell: 3.984 6.880 6.991 Å, 70.50 90.00 90.00°
Site moments in Bohr magnetons follow the coordinates.
Sites, in units of the cell vectors:
S 0.500 0.741 0.255  -0.05
S 0.000 0.745 0.748  -0.04
S 0.000 0.255 0.252  -0.04
S 0.500 0.259 0.745  -0.05
Na 0.500 0.500 0.000  0.00
Ce 0.000 0.000 0.000  0.88
Ce 0.500 0.000 0.500  0.91
U 0.000 0.500 0.500  2.51

***

[21]
Here is a relaxed structure of NaCeY2S4 from Alexandria. Energies are from PBE.

Results
Total magnetic moment ... 0.150 μB/atom
Fermi-level density of states ... 0.8723 states/eV/atom
Symmetry ... No. 10

Cell: 3.952 6.884 6.945 Å, 109.07 90.00 90.00°
Site moments in Bohr magnetons follow the coordinates.
Sites, in units of the cell vectors:
S 0.500 0.746 0.739  -0.01
S 0.500 0.254 0.261  -0.01
S 0.000 0.245 0.741  -0.01
S 0.000 0.755 0.259  -0.01
Y 0.000 0.500 0.500  0.06
Y 0.500 0.000 0.500  0.02
Ce 0.500 0.500 0.000  0.89
Na 0.000 0.000 0.000  0.00

***

Calculated energy relative to the elements, uncorrected (kJ/mol of formula units), listed in the same order as above: -1376.9 -814.4 -1408.3 -2358.9 -1158.4 -896.1 -1918.6 -1465.6 -2580.6 -2090.7 -1203.4 -2629.3 -1375.5 -2710.5 -2802.0 -1064.3 -1598.6 -1187.9 -2232.5 -1293.0 -1481.7